Record 1
This record from Alexandria describes a geometry-optimized PmMgPaO6 structure. The functional is PBE.

abc: 4.7930 5.6105 5.6105
angles: 120.00 90.00 90.00
With the nearest neighbours (Å) after each atom.
Atoms (fractional coordinates):
O 0.2582 0.0290 0.6967  1 Mg 2.13, 1 Pa 2.18, 1 Pm 2.34
O 0.7418 0.3033 0.9710  1 Mg 2.13, 1 Pa 2.18, 1 Pm 2.34
O 0.2582 0.3033 0.3323  1 Mg 2.13, 1 Pa 2.18, 1 Pm 2.34
O 0.2582 0.6677 0.9710  1 Mg 2.13, 1 Pa 2.18, 1 Pm 2.34
O 0.7418 0.6677 0.6967  1 Mg 2.13, 1 Pa 2.18, 1 Pm 2.34
O 0.7418 0.0290 0.3323  1 Mg 2.13, 1 Pa 2.18, 1 Pm 2.34
Pm 0.5000 0.6667 0.3333  6 O 2.34
Mg 0.5000 0.0000 0.0000  6 O 2.13
Pa 0.0000 0.3333 0.6667  6 O 2.18

Output
**Space group**: P312 (149)
**Magnetic moment**: 1.97 μB/cell

Record 2
This record from Alexandria describes a geometry-optimized MgPaPt2O8 structure. The functional is PBE.

abc: 5.9654 5.9654 5.9654
angles: 109.56 109.56 109.29
With the nearest neighbours (Å) after each atom.
Atoms (fractional coordinates):
O 0.9680 0.6436 0.6756  1 Pt 1.93
O 0.8931 0.7141 0.1790  1 Pt 1.92
O 0.3564 0.0320 0.3244  1 Pt 1.93
O 0.5351 0.7141 0.8210  1 Pt 1.92
O 0.2859 0.1069 0.8210  1 Pt 1.92
O 0.7076 0.0320 0.6756  1 Pt 1.93
O 0.9680 0.2924 0.3244  1 Pt 1.93
O 0.2859 0.4649 0.1790  1 Pt 1.92
Pt 0.5000 0.5000 0.0000  4 O 1.92
Pt 0.7500 0.2500 0.5000  4 O 1.93
Mg 0.2500 0.7500 0.5000  8 O 2.22-2.29
Pa 0.0000 0.0000 0.0000  8 O 2.24-2.33

Output
**Space group**: I-4m2 (119)
**Magnetic moment**: 0.00 μB/cell

Record 3
This record from Alexandria describes a geometry-optimized Mg2PaPtO8 structure. The functional is PBE.

abc: 4.7607 4.7440 6.5607
angles: 90.00 90.00 91.96
With the nearest neighbours (Å) after each atom.
Atoms (fractional coordinates):
Pt 0.0000 0.0000 0.0000  6 O 1.92-1.98
Mg 0.5000 0.5000 0.7588  6 O 2.09-2.12
Mg 0.5000 0.5000 0.2412  6 O 2.09-2.12
O 0.2923 0.2903 0.0000  1 Pt 1.92, 2 Mg 2.10
O 0.8067 0.1963 0.7756  1 Pt 1.98, 1 Mg 2.09
O 0.8067 0.1963 0.2244  1 Pt 1.98, 1 Mg 2.09
O 0.7077 0.7097 0.0000  1 Pt 1.92, 2 Mg 2.10
O 0.1933 0.8037 0.7756  1 Pt 1.98, 1 Mg 2.09
O 0.6923 0.6940 0.5000  1 Pa 2.03, 2 Mg 2.12
O 0.3077 0.3060 0.5000  1 Pa 2.03, 2 Mg 2.12
O 0.1933 0.8037 0.2244  1 Pt 1.98, 1 Mg 2.09
Pa 0.0000 0.0000 0.5000  6 O 2.03-2.25

Output
**Space group**: P2/m (10)
**Magnetic moment**: 0.64 μB/cell

Record 4
This record from Alexandria describes a geometry-optimized PuMg2PaO8 structure. The functional is PBE.

abc: 4.7361 4.7367 6.9686
angles: 90.00 90.00 90.49
With the nearest neighbours (Å) after each atom.
Atoms (fractional coordinates):
O 0.7108 0.7110 0.0000  1 Pu 1.93
O 0.1931 0.8067 0.7689  1 Pu 2.07, 1 Mg 2.07, 1 Pa 2.28
O 0.8069 0.1933 0.7689  1 Pu 2.07, 1 Mg 2.07, 1 Pa 2.28
O 0.3050 0.3049 0.5000  1 Pa 2.03, 2 Mg 2.14
O 0.8069 0.1933 0.2311  1 Pu 2.07, 1 Mg 2.07, 1 Pa 2.28
O 0.2892 0.2890 0.0000  1 Pu 1.93
O 0.1931 0.8067 0.2311  1 Pu 2.07, 1 Mg 2.07, 1 Pa 2.28
O 0.6950 0.6951 0.5000  1 Pa 2.03, 2 Mg 2.14
Pa 0.0000 0.0000 0.5000  2 O 2.03
Pu 0.0000 0.0000 0.0000  6 O 1.93-2.07
Mg 0.5000 0.5000 0.7435  6 O 2.07-2.27
Mg 0.5000 0.5000 0.2565  6 O 2.07-2.27

Output
**Space group**: Cmmm (65)
**Magnetic moment**: 1.01 μB/cell

Record 5
This record from Alexandria describes a geometry-optimized PuMgPaO6 structure. The functional is PBE.

abc: 5.4064 5.4064 9.7085
angles: 90.00 90.00 120.00
With the nearest neighbours (Å) after each atom.
Atoms (fractional coordinates):
Pu 0.3333 0.6667 0.7500  6 O 2.14
Pu 0.6667 0.3333 0.2500  6 O 2.14
O 0.6669 0.0012 0.8685  1 Mg 2.13, 1 Pu 2.14, 1 Pa 2.21
O 0.0012 0.3343 0.1315  1 Mg 2.13, 1 Pu 2.14, 1 Pa 2.21
O 0.6657 0.9988 0.3685  1 Mg 2.13, 1 Pu 2.14, 1 Pa 2.21
O 0.3343 0.0012 0.6315  1 Mg 2.13, 1 Pu 2.14, 1 Pa 2.21
O 0.3331 0.9988 0.1315  1 Mg 2.13, 1 Pu 2.14, 1 Pa 2.21
O 0.9988 0.6657 0.8685  1 Mg 2.13, 1 Pu 2.14, 1 Pa 2.21
O 0.9988 0.3331 0.6315  1 Mg 2.13, 1 Pu 2.14, 1 Pa 2.21
O 0.3343 0.3331 0.8685  1 Mg 2.13, 1 Pu 2.14, 1 Pa 2.21
O 0.0012 0.6669 0.3685  1 Mg 2.13, 1 Pu 2.14, 1 Pa 2.21
O 0.6669 0.6657 0.6315  1 Mg 2.13, 1 Pu 2.14, 1 Pa 2.21
O 0.6657 0.6669 0.1315  1 Mg 2.13, 1 Pu 2.14, 1 Pa 2.21
O 0.3331 0.3343 0.3685  1 Mg 2.13, 1 Pu 2.14, 1 Pa 2.21
Pa 0.0000 0.0000 0.0000  6 O 2.21
Pa 0.0000 0.0000 0.5000  6 O 2.21
Mg 0.6667 0.3333 0.7500  6 O 2.13
Mg 0.3333 0.6667 0.2500  6 O 2.13

Output
**Space group**: P-31c (163)
**Magnetic moment**: 6.00 μB/cell

Record 6
This record from Alexandria describes a geometry-optimized Rb4MgPa3O12 structure. The functional is PBE.

abc: 7.5930 7.5930 7.5930
angles: 109.47 109.47 109.47
With the nearest neighbours (Å) after each atom.
Atoms (fractional coordinates):
O 0.2615 0.0000 0.2615  1 Pa 2.09, 1 Mg 2.29
O 0.2500 0.7500 0.5000  2 Pa 2.19
O 0.5000 0.7500 0.2500  2 Pa 2.19
O 0.0000 0.7385 0.7385  1 Pa 2.09, 1 Mg 2.29
O 0.2615 0.2615 0.0000  1 Pa 2.09, 1 Mg 2.29
O 0.7500 0.2500 0.5000  2 Pa 2.19
O 0.2500 0.5000 0.7500  2 Pa 2.19
O 0.7385 0.7385 0.0000  1 Pa 2.09, 1 Mg 2.29
O 0.0000 0.2615 0.2615  1 Pa 2.09, 1 Mg 2.29
O 0.7385 0.0000 0.7385  1 Pa 2.09, 1 Mg 2.29
O 0.7500 0.5000 0.2500  2 Pa 2.19
O 0.5000 0.2500 0.7500  2 Pa 2.19
Rb 0.0000 0.0000 0.5000  12 O 3.10
Rb 0.5000 0.0000 0.0000  12 O 3.10
Rb 0.0000 0.5000 0.0000  12 O 3.10
Rb 0.5000 0.5000 0.5000  12 O 3.10
Pa 0.0000 0.5000 0.5000  6 O 2.09-2.19
Pa 0.5000 0.0000 0.5000  6 O 2.09-2.19
Pa 0.5000 0.5000 0.0000  6 O 2.09-2.19
Mg 0.0000 0.0000 0.0000  6 O 2.29

Output
**Space group**: Im-3m (229)
**Magnetic moment**: 3.14 μB/cell

Number 1: ΔE_f (raw) -23.96 eV/f.u.. Number 2: ΔE_f (raw) -16.54 eV/f.u.. Number 3: ΔE_f (raw) -23.20 eV/f.u.. Number 4: ΔE_f (raw) -33.44 eV/f.u.. Number 5: ΔE_f (raw) -27.20 eV/f.u.. Number 6: ΔE_f (raw) -51.39 eV/f.u..